Compound: CeNdPuSn
Source: Alexandria
Functional: PBE-GGA
Structure: optimized geometry

```
CeNdPuSn
1.0
0.0000 3.8061 3.8061
3.8061 0.0000 3.8061
3.8061 3.8061 0.0000
Ce Nd Pu Sn
1 1 1 1
direct
0.0000 0.0000 0.0000 Ce
0.2500 0.2500 0.2500 Nd
0.7500 0.7500 0.7500 Pu
0.5000 0.5000 0.5000 Sn
```

Properties
SG: F-43m (216)
DOS at the Fermi energy: 9.55 states/eV per cell
magnetic moment: 2.01 μB/atom
ΔH_f (0 K): -0.169 eV/atom

---

Compound: Sr3Sb
Source: Alexandria
Functional: PBE-GGA
Structure: optimized geometry

```
Sr3Sb
1.0
4.6299 0.0000 0.0000
0.0000 4.6299 0.0000
0.0000 0.0000 8.7798
Sr Sb
3 1
direct
0.0000 0.0000 0.0000 Sr
0.0000 0.5000 0.6621 Sr
0.5000 0.0000 0.3379 Sr
0.5000 0.5000 0.0000 Sb
```

Properties
SG: P-4m2 (115)
uncorrected formation energy: -0.39 eV per atom
DOS at the Fermi energy: 3.72 states/eV per cell
magnetic moment: 0.00 μB/atom

---

Compound: Dy2FeCu
Source: Alexandria
Functional: PBE-GGA
Structure: optimized geometry

```
Dy2FeCu
1.0
0.0000 3.3863 3.3863
3.3863 0.0000 3.3863
3.3863 3.3863 0.0000
Dy Fe Cu
2 1 1
direct
0.2500 0.2500 0.2500 Dy
0.7500 0.7500 0.7500 Dy
0.0000 0.0000 0.0000 Fe
0.5000 0.5000 0.5000 Cu
```

Properties
SG: Fm-3m (225)
DOS at the Fermi energy: 3.11 states/eV per cell
magnetic moment: 0.00 μB/atom
ΔH_f (0 K): -0.020 eV/atom

---

Compound: Nd2Sm4Th
Source: Alexandria
Functional: PBE-GGA
Structure: optimized geometry

```
Nd2Sm4Th
1.0
3.1656 -1.8245 0.0000
3.1656 1.8245 0.0000
-2.1850 0.0000 20.6898
Nd Sm Th
2 4 1
direct
0.0000 0.0000 0.0000 Nd
0.0916 0.0916 0.2866 Nd
0.2881 0.2881 0.8556 Sm
0.3810 0.3810 0.1441 Sm
0.8121 0.8121 0.4311 Sm
0.9024 0.9024 0.7126 Sm
0.1894 0.1894 0.5719 Th
```

Properties
SG: Cm (8)
DOS at the Fermi energy: 11.82 states/eV per cell
magnetic moment: 0.00 μB/atom
ΔH_f (0 K): 0.036 eV/atom

---

Compound: Pr3Co4Sn13
Source: Alexandria
Functional: PBE-GGA
Structure: optimized geometry

```
Pr3Co4Sn13
1.0
9.6563 0.0000 0.0000
0.0000 9.6563 0.0000
0.0000 0.0000 9.6563
Pr Co Sn
6 8 26
direct
0.0000 0.2500 0.5000 Pr
0.0000 0.7500 0.5000 Pr
0.2500 0.5000 0.0000 Pr
0.5000 0.0000 0.2500 Pr
0.5000 0.0000 0.7500 Pr
0.7500 0.5000 0.0000 Pr
0.2500 0.2500 0.2500 Co
0.2500 0.2500 0.7500 Co
0.2500 0.7500 0.2500 Co
0.2500 0.7500 0.7500 Co
0.7500 0.2500 0.2500 Co
0.7500 0.2500 0.7500 Co
0.7500 0.7500 0.2500 Co
0.7500 0.7500 0.7500 Co
0.0000 0.0000 0.0000 Sn
0.0000 0.3017 0.1579 Sn
0.0000 0.3017 0.8421 Sn
0.0000 0.6983 0.1579 Sn
0.0000 0.6983 0.8421 Sn
0.1579 0.0000 0.3017 Sn
0.1579 0.0000 0.6983 Sn
0.1983 0.5000 0.3421 Sn
0.1983 0.5000 0.6579 Sn
0.3017 0.1579 0.0000 Sn
0.3017 0.8421 0.0000 Sn
0.3421 0.1983 0.5000 Sn
0.3421 0.8017 0.5000 Sn
0.5000 0.3421 0.1983 Sn
0.5000 0.3421 0.8017 Sn
0.5000 0.5000 0.5000 Sn
0.5000 0.6579 0.1983 Sn
0.5000 0.6579 0.8017 Sn
0.6579 0.1983 0.5000 Sn
0.6579 0.8017 0.5000 Sn
0.6983 0.1579 0.0000 Sn
0.6983 0.8421 0.0000 Sn
0.8017 0.5000 0.3421 Sn
0.8017 0.5000 0.6579 Sn
0.8421 0.0000 0.3017 Sn
0.8421 0.0000 0.6983 Sn
```

Properties
SG: Pm-3n (223)
DOS at the Fermi energy: 17.13 states/eV per cell
magnetic moment: 0.00 μB/atom
ΔH_f (0 K): -0.371 eV/atom

---

Compound: Zr3HgBi
Source: Alexandria
Functional: PBE-GGA
Structure: optimized geometry

```
Zr3HgBi
1.0
5.3936 0.0000 0.0000
0.0000 5.3936 0.0000
0.0000 0.0000 5.3936
Zr Hg Bi
3 1 1
direct
0.0000 0.0000 0.5000 Zr
0.0000 0.5000 0.0000 Zr
0.5000 0.0000 0.0000 Zr
0.5000 0.5000 0.5000 Hg
0.0000 0.0000 0.0000 Bi
```

Properties
SG: Pm-3m (221)
DOS at the Fermi energy: 8.10 states/eV per cell
magnetic moment: 0.00 μB/atom
ΔH_f (0 K): 0.966 eV/atom

---

Compound: NdBi3Pd6
Source: Alexandria
Functional: PBE-GGA
Structure: optimized geometry

```
NdBi3Pd6
1.0
6.0921 3.5173 1.8159
-6.0921 3.5173 1.8159
0.0000 -7.0345 1.8159
Nd Bi Pd
1 3 6
direct
0.0000 0.0000 0.0000 Nd
0.0560 0.4698 0.4698 Bi
0.4698 0.0560 0.4698 Bi
0.4698 0.4698 0.0559 Bi
0.4515 0.4515 0.6806 Pd
0.4515 0.6806 0.4515 Pd
0.5537 0.9709 0.9709 Pd
0.6806 0.4515 0.4515 Pd
0.9709 0.5537 0.9709 Pd
0.9709 0.9709 0.5537 Pd
```

Properties
SG: R3m (160)
DOS at the Fermi energy: 3.58 states/eV per cell
magnetic moment: 0.00 μB/atom
ΔH_f (0 K): -0.256 eV/atom

---

Compound: La3Cd2In2
Source: Alexandria
Functional: PBE-GGA
Structure: optimized geometry

```
La3Cd2In2
1.0
4.6998 -2.7249 0.0000
4.6998 2.7249 0.0000
-3.0613 0.0000 9.1368
La Cd In
3 2 2
direct
0.0000 0.0000 0.0000 La
0.2463 0.2463 0.7371 La
0.7537 0.7537 0.2629 La
0.1244 0.1244 0.3745 Cd
0.8756 0.8756 0.6255 Cd
0.3794 0.3794 0.1384 In
0.6206 0.6206 0.8616 In
```

Properties
SG: C2/m (12)
DOS at the Fermi energy: 7.50 states/eV per cell
magnetic moment: 0.00 μB/atom
ΔH_f (0 K): -0.252 eV/atom

---

Compound: Sm12TlIr6
Source: Alexandria
Functional: PBE-GGA
Structure: optimized geometry

```
Sm12TlIr6
1.0
-5.0841 5.0841 5.0841
5.0841 -5.0841 5.0841
5.0841 5.0841 -5.0841
Sm Tl Ir
12 1 6
direct
0.1105 0.3022 0.8083 Sm
0.1917 0.4939 0.3022 Sm
0.1917 0.8895 0.6978 Sm
0.3022 0.1917 0.4939 Sm
0.3022 0.8083 0.1105 Sm
0.4939 0.3022 0.1917 Sm
0.5061 0.6978 0.8083 Sm
0.6978 0.1917 0.8895 Sm
0.6978 0.8083 0.5061 Sm
0.8083 0.1105 0.3022 Sm
0.8083 0.5061 0.6978 Sm
0.8895 0.6978 0.1917 Sm
0.0000 0.0000 0.0000 Tl
0.1241 0.5000 0.6241 Ir
0.3759 0.8759 0.5000 Ir
0.5000 0.3759 0.8759 Ir
0.5000 0.6241 0.1241 Ir
0.6241 0.1241 0.5000 Ir
0.8759 0.5000 0.3759 Ir
```

Properties
SG: Im-3 (204)
DOS at the Fermi energy: 13.58 states/eV per cell
magnetic moment: 0.00 μB/atom
ΔH_f (0 K): -0.514 eV/atom

---

Compound: Sm4Pd2O
Source: Alexandria
Functional: PBE-GGA
Structure: optimized geometry

```
Sm4Pd2O
1.0
-2.3834 2.3834 7.3622
2.3834 -2.3834 7.3622
2.3834 2.3834 -7.3622
Sm Pd O
4 2 1
direct
0.0000 0.5000 0.5000 Sm
0.1841 0.1841 0.0000 Sm
0.5000 0.0000 0.5000 Sm
0.8159 0.8159 0.0000 Sm
0.3718 0.3718 0.0000 Pd
0.6282 0.6282 0.0000 Pd
0.0000 0.0000 0.0000 O
```

Properties
SG: I4/mmm (139)
uncorrected formation energy: -1.21 eV per atom
DOS at the Fermi energy: 6.66 states/eV per cell
magnetic moment: 0.00 μB/atom

---

Compound: AgHgSb2O
Source: Alexandria
Functional: PBE-GGA
Structure: optimized geometry

```
AgHgSb2O
1.0
5.5446 0.0000 0.0000
0.0000 5.5446 0.0000
0.0000 0.0000 3.9492
Ag Hg Sb O
1 1 2 1
direct
0.0000 0.0000 0.0000 Ag
0.5000 0.5000 0.5000 Hg
0.0000 0.5000 0.0000 Sb
0.5000 0.0000 0.0000 Sb
0.0000 0.0000 0.5000 O
```

Properties
SG: P4/mmm (123)
uncorrected formation energy: 0.40 eV per atom
DOS at the Fermi energy: 2.96 states/eV per cell
magnetic moment: 0.00 μB/atom

---

Compound: Na2ZnSnF8
Source: Alexandria
Functional: PBE-GGA
Structure: optimized geometry

```
Na2ZnSnF8
1.0
5.0669 0.0000 0.0000
0.0000 6.7774 0.0000
-0.3600 0.0000 5.0676
Na Zn Sn F
2 1 1 8
direct
0.0000 0.2384 0.0000 Na
0.0000 0.7616 0.0000 Na
0.5000 0.0000 0.5000 Zn
0.5000 0.5000 0.5000 Sn
0.2125 0.5000 0.2132 F
0.2295 0.0000 0.2299 F
0.3195 0.2767 0.6803 F
0.3195 0.7233 0.6803 F
0.6805 0.2767 0.3197 F
0.6805 0.7233 0.3197 F
0.7705 0.0000 0.7701 F
0.7875 0.5000 0.7868 F
```

Properties
SG: P2/m (10)
uncorrected formation energy: -2.57 eV per atom
DOS at the Fermi energy: 0.00 states/eV per cell
magnetic moment: 0.00 μB/atom

---

Question: Among the records above, which one has the highest DOS at the Fermi energy?
Answer: Pr3Co4Sn13